No. 1
# Y2ScCd

Crystalline Y2ScCd at its relaxed geometry (PBE, the Alexandria database).

Structure (CIF):
```
data_Y2ScCd
_symmetry_space_group_name_H-M 'R -3 m'
_symmetry_Int_Tables_number 166
_symmetry_space_group_name_Hall '-R 3 2"'
_cell_length_a 3.5321
_cell_length_b 3.5321
_cell_length_c 31.5325
_cell_angle_alpha 90.00
_cell_angle_beta 90.00
_cell_angle_gamma 120.00
loop_
_atom_site_label
_atom_site_fract_x
_atom_site_fract_y
_atom_site_fract_z
Y1 0.0000 0.0000 0.2473
Sc1 0.0000 0.0000 0.0000
Cd1 0.0000 0.0000 0.5000
```

---

No. 2
# YScCd

Crystalline YScCd at its relaxed geometry (PBE, the Alexandria database).

Structure (CIF):
```
data_YScCd
_symmetry_space_group_name_H-M 'C 1 2/m 1'
_symmetry_Int_Tables_number 12
_cell_length_a 16.4804
_cell_length_b 3.5762
_cell_length_c 5.1793
_cell_angle_alpha 90.00
_cell_angle_beta 90.08
_cell_angle_gamma 90.00
loop_
_symmetry_equiv_pos_as_xyz
'x,y,z'
'-x,-y,-z'
'-x,y,-z'
'x,-y,z'
'x+1/2,y+1/2,z'
'-x+1/2,-y+1/2,-z'
'-x+1/2,y+1/2,-z'
'x+1/2,-y+1/2,z'
loop_
_atom_site_label
_atom_site_fract_x
_atom_site_fract_y
_atom_site_fract_z
Y1 0.2243 0.0000 0.2501
Sc1 0.0893 0.0000 0.7490
Cd1 0.0637 0.5000 0.2487
```

---

No. 3
# YScCd2

Crystalline YScCd2 at its relaxed geometry (PBE, the Alexandria database).

Structure (CIF):
```
data_YScCd2
_symmetry_space_group_name_H-M 'P 4/m m m'
_symmetry_Int_Tables_number 123
_symmetry_space_group_name_Hall '-P 4 2'
_cell_length_a 5.1210
_cell_length_b 5.1210
_cell_length_c 3.7119
_cell_angle_alpha 90.00
_cell_angle_beta 90.00
_cell_angle_gamma 90.00
loop_
_atom_site_label
_atom_site_fract_x
_atom_site_fract_y
_atom_site_fract_z
Y1 0.0000 0.0000 0.0000
Sc1 0.5000 0.5000 0.0000
Cd1 0.0000 0.5000 0.5000
```

---

No. 4
# Y2ScCd

Crystalline Y2ScCd at its relaxed geometry (PBE, the Alexandria database).

Structure (CIF):
```
data_Y2ScCd
_symmetry_space_group_name_H-M 'R 3 m'
_symmetry_Int_Tables_number 160
_symmetry_space_group_name_Hall 'R 3 -2"'
_cell_length_a 3.5449
_cell_length_b 3.5449
_cell_length_c 31.4030
_cell_angle_alpha 90.00
_cell_angle_beta 90.00
_cell_angle_gamma 120.00
loop_
_atom_site_label
_atom_site_fract_x
_atom_site_fract_y
_atom_site_fract_z
Y1 0.0000 0.0000 0.0000
Y2 0.0000 0.0000 0.1712
Sc1 0.0000 0.0000 0.7523
Cd1 0.0000 0.0000 0.5858
```

---

No. 5
# YScCd2

Crystalline YScCd2 at its relaxed geometry (PBE, the Alexandria database).

Structure (CIF):
```
data_YScCd2
_symmetry_space_group_name_H-M 'F -4 3 m'
_symmetry_Int_Tables_number 216
_symmetry_space_group_name_Hall 'F -4 2 3'
_cell_length_a 7.2911
_cell_length_b 7.2911
_cell_length_c 7.2911
_cell_angle_alpha 90.00
_cell_angle_beta 90.00
_cell_angle_gamma 90.00
loop_
_atom_site_label
_atom_site_fract_x
_atom_site_fract_y
_atom_site_fract_z
Y1 0.0000 0.0000 0.0000
Sc1 0.2500 0.2500 0.2500
Cd1 0.0000 0.0000 0.5000
Cd2 0.2500 0.2500 0.7500
```

---

No. 6
# Y2ScCd

Crystalline Y2ScCd at its relaxed geometry (PBE, the Alexandria database).

Structure (CIF):
```
data_Y2ScCd
_symmetry_space_group_name_H-M 'C m m m'
_symmetry_Int_Tables_number 65
_symmetry_space_group_name_Hall '-C 2 2'
_cell_length_a 7.0871
_cell_length_b 8.3340
_cell_length_c 3.7028
_cell_angle_alpha 90.00
_cell_angle_beta 90.00
_cell_angle_gamma 90.00
loop_
_atom_site_label
_atom_site_fract_x
_atom_site_fract_y
_atom_site_fract_z
Y1 0.2500 0.2500 0.0000
Sc1 0.0000 0.0000 0.5000
Cd1 0.0000 0.5000 0.5000
```

---

No. 7
# Y6Sc2Cd

Crystalline Y6Sc2Cd at its relaxed geometry (PBE, the Alexandria database).

Structure (CIF):
```
data_Y6Sc2Cd
_symmetry_space_group_name_H-M 'P n n m'
_symmetry_Int_Tables_number 58
_cell_length_a 10.0559
_cell_length_b 10.0641
_cell_length_c 5.2730
_cell_angle_alpha 90.00
_cell_angle_beta 90.00
_cell_angle_gamma 90.00
loop_
_symmetry_equiv_pos_as_xyz
'x,y,z'
'-x,-y,-z'
'-x,-y,z'
'x,y,-z'
'x+1/2,-y+1/2,-z+1/2'
'-x+1/2,y+1/2,z+1/2'
'-x+1/2,y+1/2,-z+1/2'
'x+1/2,-y+1/2,z+1/2'
loop_
_atom_site_label
_atom_site_fract_x
_atom_site_fract_y
_atom_site_fract_z
Y1 0.0359 0.1815 0.0000
Y2 0.1274 0.6267 0.5000
Y3 0.1813 0.9630 0.5000
Sc1 0.2094 0.2895 0.5000
Cd1 0.0000 0.5000 0.0000
```

---

No. 8
# Y4ScCd

Crystalline Y4ScCd at its relaxed geometry (PBE, the Alexandria database).

Structure (CIF):
```
data_Y4ScCd
_symmetry_space_group_name_H-M 'C 1 2/c 1'
_symmetry_Int_Tables_number 15
_cell_length_a 8.7051
_cell_length_b 14.1749
_cell_length_c 6.1676
_cell_angle_alpha 90.00
_cell_angle_beta 108.97
_cell_angle_gamma 90.00
loop_
_symmetry_equiv_pos_as_xyz
'x,y,z'
'-x,-y,-z'
'-x,y,-z+1/2'
'x,-y,z+1/2'
'x+1/2,y+1/2,z'
'-x+1/2,-y+1/2,-z'
'-x+1/2,y+1/2,-z+1/2'
'x+1/2,-y+1/2,z+1/2'
loop_
_atom_site_label
_atom_site_fract_x
_atom_site_fract_y
_atom_site_fract_z
Y1 0.1003 0.1922 0.0517
Y2 0.2064 0.3994 0.3591
Sc1 0.0000 0.3946 0.7500
Cd1 0.0000 0.0012 0.2500
```

---

No. 9
# YSc2Cd

Crystalline YSc2Cd at its relaxed geometry (PBE, the Alexandria database).

Structure (CIF):
```
data_YSc2Cd
_symmetry_space_group_name_H-M 'P 4 m m'
_symmetry_Int_Tables_number 99
_cell_length_a 3.4393
_cell_length_b 3.4393
_cell_length_c 8.6133
_cell_angle_alpha 90.00
_cell_angle_beta 90.00
_cell_angle_gamma 90.00
loop_
_symmetry_equiv_pos_as_xyz
'x,y,z'
'-y,x,z'
'-x,-y,z'
'y,-x,z'
'-x,y,z'
'y,x,z'
'x,-y,z'
'-y,-x,z'
loop_
_atom_site_label
_atom_site_fract_x
_atom_site_fract_y
_atom_site_fract_z
Y1 0.0000 0.0000 0.0000
Sc1 0.0000 0.0000 0.4795
Sc2 0.5000 0.5000 0.7227
Cd1 0.5000 0.5000 0.2583
```

---

No. 10
# YScCd2

Crystalline YScCd2 at its relaxed geometry (PBE, the Alexandria database).

Structure (CIF):
```
data_YScCd2
_symmetry_space_group_name_H-M 'P 4 m m'
_symmetry_Int_Tables_number 99
_cell_length_a 3.7790
_cell_length_b 3.7790
_cell_length_c 6.9245
_cell_angle_alpha 90.00
_cell_angle_beta 90.00
_cell_angle_gamma 90.00
loop_
_symmetry_equiv_pos_as_xyz
'x,y,z'
'-y,x,z'
'-x,-y,z'
'y,-x,z'
'-x,y,z'
'y,x,z'
'x,-y,z'
'-y,-x,z'
loop_
_atom_site_label
_atom_site_fract_x
_atom_site_fract_y
_atom_site_fract_z
Y1 0.0000 0.0000 0.0000
Sc1 0.5000 0.5000 0.7165
Cd1 0.0000 0.0000 0.4981
Cd2 0.5000 0.5000 0.2543
```

---

No. 11
# YSc2Cd

Crystalline YSc2Cd at its relaxed geometry (PBE, the Alexandria database).

Structure (CIF):
```
data_YSc2Cd
_symmetry_space_group_name_H-M 'I -4 m 2'
_symmetry_Int_Tables_number 119
_symmetry_space_group_name_Hall 'I -4 -2'
_cell_length_a 4.6474
_cell_length_b 4.6474
_cell_length_c 9.2623
_cell_angle_alpha 90.00
_cell_angle_beta 90.00
_cell_angle_gamma 90.00
loop_
_atom_site_label
_atom_site_fract_x
_atom_site_fract_y
_atom_site_fract_z
Y1 0.0000 0.0000 0.0000
Sc1 0.0000 0.0000 0.5000
Sc2 0.0000 0.5000 0.2500
Cd1 0.0000 0.5000 0.7500
```

---

No. 12
# YSc2Cd

Crystalline YSc2Cd at its relaxed geometry (PBE, the Alexandria database).

Structure (CIF):
```
data_YSc2Cd
_symmetry_space_group_name_H-M 'R 3 m'
_symmetry_Int_Tables_number 160
_symmetry_space_group_name_Hall 'R 3 -2"'
_cell_length_a 3.4080
_cell_length_b 3.4080
_cell_length_c 31.1245
_cell_angle_alpha 90.00
_cell_angle_beta 90.00
_cell_angle_gamma 120.00
loop_
_atom_site_label
_atom_site_fract_x
_atom_site_fract_y
_atom_site_fract_z
Y1 0.0000 0.0000 0.0000
Sc1 0.0000 0.0000 0.2444
Sc2 0.0000 0.0000 0.4948
Cd1 0.0000 0.0000 0.7510
```

---

no.,E_form (eV/atom),magnetic moment (μB/f.u.)
1,-0.043,0.0
2,-0.166,0.0
3,-0.300,0.0
4,-0.054,0.6
5,-0.018,1.5
6,-0.093,0.0
7,-0.007,0.0
8,0.024,0.0
9,-0.125,0.6
10,-0.169,0.8
11,-0.070,1.0
12,-0.029,0.1